1.
First-principles (GGA-PBEsol) data for LiBe after structural relaxation, as listed in Alexandria via LeMat-Bulk.

Unit cell a=4.670 b=4.670 c=4.670 alpha=90.00 beta=90.00 gamma=90.00
Space group Fm-3m (No. 225)
Unique sites:
Li 0.000 0.000 0.000 [4 per cell]
Be 0.000 0.000 0.500 [4 per cell]

Output
- Polymorph energy (0 for the lowest one): 0.612 eV per atom
- Total energy: -2.136 eV per atom
- Volume: 12.7 A^3/atom

2.
First-principles (GGA-PBEsol) data for BaMn2Al after structural relaxation, as listed in Alexandria via LeMat-Bulk.

Unit cell a=3.237 b=4.818 c=5.390 alpha=90.00 beta=90.00 gamma=90.00
Space group Pmmm (No. 47)
Unique sites:
Ba 0.000 0.000 0.000 [1 per cell]
Mn 0.000 0.500 0.500 [1 per cell]
Mn 0.500 0.500 0.000 [1 per cell]
Al 0.500 0.000 0.500 [1 per cell]

Output
- Total energy: -5.513 eV per atom
- Volume: 21.0 A^3/atom

3.
First-principles (GGA-PBEsol) data for SiPt2N after structural relaxation, as listed in Alexandria via LeMat-Bulk.

Unit cell a=5.819 b=5.819 c=5.819 alpha=90.00 beta=90.00 gamma=90.00
Space group Fm-3m (No. 225)
Unique sites:
Si 0.000 0.000 0.000 [4 per cell]
Pt 0.250 0.250 0.250 [8 per cell]
N 0.000 0.000 0.500 [4 per cell]

Output
- E_form (uncorrected): 0.516 eV per atom
- Total energy: -6.534 eV per atom
- Volume: 12.3 A^3/atom

4.
First-principles (GGA-PBEsol) data for ScAl2Tc after structural relaxation, as listed in Alexandria via LeMat-Bulk.

Unit cell a=6.291 b=6.291 c=6.291 alpha=90.00 beta=90.00 gamma=90.00
Space group Fm-3m (No. 225)
Unique sites:
Sc 0.000 0.000 0.000 [4 per cell]
Al 0.250 0.250 0.250 [8 per cell]
Tc 0.000 0.000 0.500 [4 per cell]

Output
- Polymorph energy (0 for the lowest one): 0.022 eV per atom
- Total energy: -6.879 eV per atom
- Volume: 15.6 A^3/atom

5.
First-principles (GGA-PBEsol) data for CdPbIO2 after structural relaxation, as listed in Alexandria via LeMat-Bulk.

Unit cell a=4.394 b=4.394 c=5.606 alpha=90.00 beta=90.00 gamma=90.00
Space group P4/mmm (No. 123)
Unique sites:
Cd 0.000 0.000 0.000 [1 per cell]
Pb 0.500 0.500 0.500 [1 per cell]
I 0.000 0.000 0.500 [1 per cell]
O 0.000 0.500 0.000 [2 per cell]

Output
- E_form (uncorrected): -0.021 eV per atom
- Total energy: -3.514 eV per atom
- Volume: 21.6 A^3/atom

6.
First-principles (GGA-PBEsol) data for KRh3Se after structural relaxation, as listed in Alexandria via LeMat-Bulk.

Unit cell a=4.611 b=4.611 c=4.611 alpha=90.00 beta=90.00 gamma=90.00
Space group Pm-3m (No. 221)
Unique sites:
K 0.000 0.000 0.000 [1 per cell]
Rh 0.000 0.000 0.500 [3 per cell]
Se 0.500 0.500 0.500 [1 per cell]

Output
- E_form (uncorrected): 2.338 eV per atom
- Total energy: -3.541 eV per atom
- Volume: 19.6 A^3/atom

7.
First-principles (GGA-PBEsol) data for TiGe3C after structural relaxation, as listed in Alexandria via LeMat-Bulk.

Unit cell a=4.817 b=4.817 c=4.817 alpha=90.00 beta=90.00 gamma=90.00
Space group Pm-3m (No. 221)
Unique sites:
Ti 0.000 0.000 0.000 [1 per cell]
Ge 0.000 0.000 0.500 [3 per cell]
C 0.500 0.500 0.500 [1 per cell]

Output
- Total energy: -4.869 eV per atom
- Volume: 22.3 A^3/atom

8.
First-principles (GGA-PBEsol) data for BaIn2WBr after structural relaxation, as listed in Alexandria via LeMat-Bulk.

Unit cell a=5.276 b=5.276 c=5.215 alpha=90.00 beta=90.00 gamma=90.00
Space group P4/mmm (No. 123)
Unique sites:
Ba 0.000 0.000 0.000 [1 per cell]
In 0.000 0.500 0.500 [2 per cell]
W 0.500 0.500 0.500 [1 per cell]
Br 0.500 0.500 0.000 [1 per cell]

Output
- E_form (uncorrected): 0.189 eV per atom
- Total energy: -4.570 eV per atom
- Volume: 29.0 A^3/atom

9.
First-principles (GGA-PBEsol) data for LiHgPt2 after structural relaxation, as listed in Alexandria via LeMat-Bulk.

Unit cell a=3.006 b=3.006 c=6.597 alpha=90.00 beta=90.00 gamma=90.00
Space group P4/mmm (No. 123)
Unique sites:
Li 0.000 0.000 0.000 [1 per cell]
Hg 0.000 0.000 0.500 [1 per cell]
Pt 0.500 0.500 0.213 [2 per cell]

Output
- Total energy: -4.309 eV per atom
- Volume: 14.9 A^3/atom

10.
First-principles (GGA-PBEsol) data for ZnH4Br2O2 after structural relaxation, as listed in Alexandria via LeMat-Bulk.

Unit cell a=7.535 b=10.005 c=10.756 alpha=90.00 beta=90.00 gamma=90.00
Space group Immm (No. 71)
Unique sites:
Zn 0.000 0.000 0.000 [2 per cell]
Zn 0.000 0.500 0.151 [4 per cell]
H 0.000 0.082 0.245 [8 per cell]
H 0.229 0.344 0.427 [16 per cell]
Br 0.000 0.311 0.287 [8 per cell]
Br 0.243 0.500 0.000 [4 per cell]
O 0.000 0.000 0.193 [4 per cell]
O 0.192 0.149 0.000 [8 per cell]

Output
- Total energy: -4.185 eV per atom
- Volume: 15.0 A^3/atom

11.
First-principles (GGA-PBEsol) data for Y2AlCo after structural relaxation, as listed in Alexandria via LeMat-Bulk.

Unit cell a=3.127 b=11.580 c=9.072 alpha=90.00 beta=90.00 gamma=90.00
Space group Cmcm (No. 63)
Unique sites:
Y 0.000 0.120 0.075 [8 per cell]
Al 0.000 0.182 0.750 [4 per cell]
Co 0.000 0.476 0.250 [4 per cell]

Output
- Total energy: -6.456 eV per atom
- Volume: 20.5 A^3/atom

12.
First-principles (GGA-PBEsol) data for Ho3Ga9Pd2 after structural relaxation, as listed in Alexandria via LeMat-Bulk.

Unit cell a=4.210 b=9.333 c=12.342 alpha=90.00 beta=90.00 gamma=90.00
Space group Immm (No. 71)
Unique sites:
Ho 0.000 0.000 0.000 [2 per cell]
Ho 0.000 0.000 0.301 [4 per cell]
Ga 0.000 0.282 0.138 [8 per cell]
Ga 0.000 0.367 0.344 [8 per cell]
Ga 0.000 0.500 0.000 [2 per cell]
Pd 0.000 0.186 0.500 [4 per cell]

Output
- Total energy: -4.761 eV per atom
- Volume: 17.3 A^3/atom